Record 1
Density functional theory data (PBE) for an optimized crystal structure of Li2InCo.

Lattice parameters (Å, degrees): 3.696 3.696 9.995 79.35 79.35 90.00
Positions (direct):
1 Li 0.875 0.854 0.750
2 Li 0.604 0.125 0.250
3 Li 0.375 0.396 0.750
4 Li 0.146 0.625 0.250
5 In 0.000 0.000 0.000
6 In 0.750 0.250 0.500
7 Co 0.250 0.750 0.500
8 Co 0.500 0.500 0.000

Output
DFT total energy: -0.119 Ha/atom
ρ: 4.73 g/cm³
V: 16.5 Å³ per atom
DFT formation energy: 18.6 kJ per mole of atoms
DOS at the Fermi energy: 4.0 states/eV/f.u.
magnetization: 1.6 μB/cell

Record 2
Density functional theory data (PBE) for an optimized crystal structure of LiIn2Co.

Lattice parameters (Å, degrees): 4.647 4.647 4.647 60.00 60.00 60.00
Positions (direct):
1 In 0.250 0.250 0.250
2 In 0.000 0.000 0.000
3 Co 0.500 0.500 0.500
4 Li 0.750 0.750 0.750

Output
DFT total energy: -0.126 Ha/atom
ρ: 6.91 g/cm³
V: 17.7 Å³ per atom
DFT formation energy: 17.7 kJ per mole of atoms
DOS at the Fermi energy: 3.4 states/eV/f.u.
magnetization: 1.3 μB/cell

Record 3
Density functional theory data (PBE) for an optimized crystal structure of LiIn2Co2.

Lattice parameters (Å, degrees): 3.281 3.281 8.855 79.32 79.32 90.00
Positions (direct):
1 Co 0.750 0.250 0.500
2 Co 0.250 0.750 0.500
3 Li 0.000 0.000 0.000
4 In 0.380 0.380 0.239
5 In 0.620 0.620 0.761

Output
polymorph energy (0 for the lowest one): 5.3 kJ per mole of atoms
DFT total energy: -0.154 Ha/atom
ρ: 6.40 g/cm³
V: 18.4 Å³ per atom
DFT formation energy: 11.7 kJ per mole of atoms
DOS at the Fermi energy: 3.5 states/eV/f.u.
magnetization: 3.0 μB/cell

Record 4
Density functional theory data (PBE) for an optimized crystal structure of Li2In8Co.

Lattice parameters (Å, degrees): 4.504 4.504 12.126 90.00 90.00 90.00
Positions (direct):
1 In 0.500 0.000 0.500
2 In 0.500 0.000 0.123
3 In 0.500 0.500 0.309
4 In 0.000 0.500 0.877
5 In 0.000 0.500 0.123
6 In 0.500 0.000 0.877
7 In 0.000 0.500 0.500
8 In 0.500 0.500 0.691
9 Li 0.000 0.000 0.703
10 Li 0.000 0.000 0.297
11 Co 0.000 0.000 0.000

Output
DFT total energy: -0.113 Ha/atom
ρ: 6.69 g/cm³
V: 22.4 Å³ per atom
DFT formation energy: -8.0 kJ per mole of atoms
DOS at the Fermi energy: 5.6 states/eV/f.u.
magnetization: 0.0 μB/cell

Record 5
Density functional theory data (PBE) for an optimized crystal structure of LiIn5Co.

Lattice parameters (Å, degrees): 4.498 4.498 7.476 90.00 90.00 90.00
Positions (direct):
1 In 0.500 0.000 0.700
2 In 0.500 0.000 0.300
3 In 0.000 0.500 0.700
4 In 0.000 0.500 0.300
5 In 0.500 0.500 0.000
6 Co 0.000 0.000 0.500
7 Li 0.000 0.000 0.000

Output
DFT total energy: -0.121 Ha/atom
ρ: 7.03 g/cm³
V: 21.6 Å³ per atom
DFT formation energy: -5.6 kJ per mole of atoms
DOS at the Fermi energy: 3.1 states/eV/f.u.
magnetization: 0.0 μB/cell

Record 6
Density functional theory data (PBE) for an optimized crystal structure of LiIn2Co.

Lattice parameters (Å, degrees): 7.159 4.524 3.200 89.94 63.44 129.23
Positions (direct):
1 Co 0.500 0.500 0.000
2 In 0.500 0.000 0.500
3 In 0.000 0.000 0.000
4 Li 0.000 0.500 0.500

Output
DFT total energy: -0.134 Ha/atom
ρ: 7.49 g/cm³
V: 16.4 Å³ per atom
DFT formation energy: -2.8 kJ per mole of atoms
DOS at the Fermi energy: 2.3 states/eV/f.u.
magnetization: 0.6 μB/cell

What is the formula in the third record? LiIn2Co2